Entry 1:
DFT (PBE-GGA) results for an optimized crystal structure of MgZn2Cu.

Lattice parameters (Å, degrees): 4.4068 4.4068 7.5314 90.00 90.00 120.00
Closest atoms and distances in Å follow each position.
Positions (direct):
Cu 0.6667 0.3333 0.2500  8 Zn 2.55-2.82
Zn 0.3333 0.6667 0.0891  1 Zn 2.42, 1 Cu 2.55, 3 Mg 2.63
Mg 0.0000 0.0000 0.5000  6 Zn 2.63
Cu 0.3333 0.6667 0.7500  8 Zn 2.55-2.82
Mg 0.0000 0.0000 0.0000  6 Zn 2.63
Zn 0.6667 0.3333 0.9109  1 Zn 2.42, 1 Cu 2.55, 3 Mg 2.63
Zn 0.3333 0.6667 0.4109  1 Zn 2.42, 1 Cu 2.55, 3 Mg 2.63
Zn 0.6667 0.3333 0.5891  1 Zn 2.42, 1 Cu 2.55, 3 Mg 2.63

Computed properties:
ΔH_f (0 K): 18.1 meV/atom
Density: 5.73 Mg/m³
DOS(E_F): 2.43 states/eV/cell


Entry 2:
DFT (PBE-GGA) results for an optimized crystal structure of MgZnCu.

Lattice parameters (Å, degrees): 4.3330 4.3330 5.7684 90.00 90.00 120.00
Closest atoms and distances in Å follow each position.
Positions (direct):
Zn 0.6667 0.3333 0.7500  3 Cu 2.50
Cu 0.6667 0.3333 0.2500  3 Zn 2.50
Zn 0.3333 0.6667 0.2500  3 Cu 2.50
Mg 0.0000 0.0000 0.5000  2 Mg 2.88, 6 Cu 2.89, 6 Zn 2.89
Mg 0.0000 0.0000 0.0000  2 Mg 2.88, 6 Zn 2.89, 6 Cu 2.89
Cu 0.3333 0.6667 0.7500  3 Zn 2.50

Computed properties:
ΔH_f (0 K): -109.7 meV/atom
Density: 5.43 Mg/m³
DOS(E_F): 2.13 states/eV/cell


Entry 3:
DFT (PBE-GGA) results for an optimized crystal structure of Mg2ZnCu2.

Lattice parameters (Å, degrees): 7.3887 7.3887 3.0239 90.00 90.00 90.00
Closest atoms and distances in Å follow each position.
Positions (direct):
Zn 0.0000 0.0000 0.0000  4 Mg 2.82, 2 Zn 3.02
Cu 0.6448 0.8552 0.5000  6 Mg 2.63-2.65
Mg 0.6495 0.1495 0.0000  6 Cu 2.63-2.65, 2 Zn 2.82
Mg 0.8505 0.6495 0.0000  6 Cu 2.63-2.65, 2 Zn 2.82
Cu 0.8552 0.3552 0.5000  6 Mg 2.63-2.65
Cu 0.3552 0.1448 0.5000  6 Mg 2.63-2.65
Mg 0.3505 0.8505 0.0000  6 Cu 2.63-2.65, 2 Zn 2.82
Mg 0.1495 0.3505 0.0000  6 Cu 2.63-2.65, 2 Zn 2.82
Zn 0.5000 0.5000 0.0000  4 Mg 2.82, 2 Zn 3.02
Cu 0.1448 0.6448 0.5000  6 Mg 2.63-2.65

Computed properties:
ΔH_f (0 K): 92.5 meV/atom
Density: 4.85 Mg/m³
DOS(E_F): 2.54 states/eV/cell


Entry 4:
DFT (PBE-GGA) results for an optimized crystal structure of MgZn2Cu3.

Lattice parameters (Å, degrees): 5.9968 5.9968 4.9712 90.00 90.00 85.77
Closest atoms and distances in Å follow each position.
Positions (direct):
Mg 0.7246 0.7246 0.2500  7 Cu 2.65-2.85, 4 Zn 2.97
Zn 0.7244 0.2756 0.0000  2 Zn 2.49, 6 Cu 2.53-2.70
Zn 0.7244 0.2756 0.5000  2 Zn 2.49, 6 Cu 2.53-2.70
Cu 0.9150 0.5769 0.7500  1 Cu 2.43, 4 Zn 2.53-2.70, 1 Mg 2.71
Cu 0.0850 0.4231 0.2500  1 Cu 2.43, 4 Zn 2.53-2.70, 1 Mg 2.71
Cu 0.4231 0.0850 0.2500  1 Cu 2.43, 4 Zn 2.53-2.70, 1 Mg 2.71
Mg 0.2754 0.2754 0.7500  7 Cu 2.65-2.85, 4 Zn 2.97
Zn 0.2756 0.7244 0.5000  2 Zn 2.49, 6 Cu 2.53-2.70
Cu 0.5769 0.9150 0.7500  1 Cu 2.43, 4 Zn 2.53-2.70, 1 Mg 2.71
Cu 0.9737 0.9737 0.7500  4 Cu 2.43-2.53, 4 Zn 2.58, 1 Mg 2.65
Zn 0.2756 0.7244 0.0000  2 Zn 2.49, 6 Cu 2.53-2.70
Cu 0.0263 0.0263 0.2500  4 Cu 2.43-2.53, 4 Zn 2.58, 1 Mg 2.65

Computed properties:
Energy above the most stable polymorph in this dataset: 92 meV/atom
ΔH_f (0 K): -10.2 meV/atom
Density: 6.44 Mg/m³
DOS(E_F): 3.17 states/eV/cell


Entry 5:
DFT (PBE-GGA) results for an optimized crystal structure of Mg2Zn3Cu.

Lattice parameters (Å, degrees): 5.9664 5.9664 6.0316 90.00 90.00 101.80
Closest atoms and distances in Å follow each position.
Positions (direct):
Mg 0.2969 0.2969 0.5000  2 Cu 2.70, 4 Zn 2.84-2.88, 2 Mg 3.02
Zn 0.5936 0.0775 0.2500  2 Zn 2.48-2.53, 1 Cu 2.55
Cu 0.9992 0.0008 0.2500  3 Zn 2.51-2.55, 4 Mg 2.70
Zn 0.9225 0.4064 0.2500  2 Zn 2.48-2.53, 1 Cu 2.55
Mg 0.2969 0.2969 0.0000  2 Cu 2.70, 4 Zn 2.84-2.88, 2 Mg 3.02
Zn 0.0775 0.5936 0.7500  2 Zn 2.48-2.53, 1 Cu 2.55
Mg 0.7031 0.7031 0.0000  2 Cu 2.70, 4 Zn 2.84-2.88, 2 Mg 3.02
Cu 0.0008 0.9992 0.7500  3 Zn 2.51-2.55, 4 Mg 2.70
Mg 0.7031 0.7031 0.5000  2 Cu 2.70, 4 Zn 2.84-2.88, 2 Mg 3.02
Zn 0.4064 0.9225 0.7500  2 Zn 2.48-2.53, 1 Cu 2.55
Zn 0.2697 0.7303 0.2500  1 Cu 2.51, 2 Zn 2.53
Zn 0.7303 0.2697 0.7500  1 Cu 2.51, 2 Zn 2.53

Computed properties:
Energy above the most stable polymorph in this dataset: 223 meV/atom
ΔH_f (0 K): 52.8 meV/atom
Density: 4.87 Mg/m³
DOS(E_F): 4.41 states/eV/cell


Entry 6:
DFT (PBE-GGA) results for an optimized crystal structure of MgZn6Cu2.

Lattice parameters (Å, degrees): 2.8784 7.6226 7.6226 56.11 79.12 79.12
Closest atoms and distances in Å follow each position.
Positions (direct):
Zn 0.6755 0.6426 0.0064  4 Zn 2.54-2.62, 3 Cu 2.66-2.72
Zn 0.3245 0.3574 0.9936  4 Zn 2.54-2.62, 3 Cu 2.66-2.72
Zn 0.3245 0.9936 0.3574  4 Zn 2.54-2.62, 3 Cu 2.66-2.72
Zn 0.5000 0.6690 0.3310  3 Zn 2.42-2.54, 4 Cu 2.70
Zn 0.5000 0.3310 0.6690  3 Zn 2.42-2.54, 4 Cu 2.70
Cu 0.1478 0.3522 0.3522  10 Zn 2.66-2.72, 2 Cu 2.88
Mg 0.0000 0.0000 0.0000  12 Zn 2.78-3.02, 2 Mg 2.88
Cu 0.8522 0.6478 0.6478  10 Zn 2.66-2.72, 2 Cu 2.88
Zn 0.6755 0.0064 0.6426  4 Zn 2.54-2.62, 3 Cu 2.66-2.72

Computed properties:
ΔH_f (0 K): -19.1 meV/atom
Density: 6.66 Mg/m³
DOS(E_F): 1.50 states/eV/cell


Entry 7:
DFT (PBE-GGA) results for an optimized crystal structure of Mg3Zn3Cu.

Lattice parameters (Å, degrees): 7.9713 7.9713 4.3744 90.00 90.00 120.00
Closest atoms and distances in Å follow each position.
Positions (direct):
Zn 0.5555 0.1087 0.7500  4 Zn 2.65-2.69, 2 Cu 2.68, 2 Mg 2.86
Mg 0.2883 0.1452 0.2500  1 Cu 2.61, 2 Zn 2.86
Cu 0.6667 0.3333 0.2500  3 Mg 2.61, 6 Zn 2.68
Mg 0.1452 0.8569 0.7500  1 Cu 2.61, 2 Zn 2.86
Mg 0.1431 0.2883 0.7500  1 Cu 2.61, 2 Zn 2.86
Zn 0.4468 0.5555 0.2500  4 Zn 2.65-2.69, 2 Cu 2.68, 2 Mg 2.86
Mg 0.8548 0.1431 0.2500  1 Cu 2.61, 2 Zn 2.86
Mg 0.8569 0.7117 0.2500  1 Cu 2.61, 2 Zn 2.86
Zn 0.1087 0.5532 0.2500  4 Zn 2.65-2.69, 2 Cu 2.68, 2 Mg 2.86
Zn 0.5532 0.4445 0.7500  4 Zn 2.65-2.69, 2 Cu 2.68, 2 Mg 2.86
Mg 0.7117 0.8548 0.7500  1 Cu 2.61, 2 Zn 2.86
Zn 0.4445 0.8913 0.2500  4 Zn 2.65-2.69, 2 Cu 2.68, 2 Mg 2.86
Zn 0.8913 0.4468 0.7500  4 Zn 2.65-2.69, 2 Cu 2.68, 2 Mg 2.86
Cu 0.3333 0.6667 0.7500  3 Mg 2.61, 6 Zn 2.68

Computed properties:
Energy above the most stable polymorph in this dataset: 31 meV/atom
ΔH_f (0 K): -23.9 meV/atom
Density: 4.59 Mg/m³
DOS(E_F): 3.70 states/eV/cell


Entry 8:
DFT (PBE-GGA) results for an optimized crystal structure of MgZn8Cu4.

Lattice parameters (Å, degrees): 7.2586 7.2586 7.2586 93.73 93.73 150.46
Closest atoms and distances in Å follow each position.
Positions (direct):
Zn 0.0751 0.6197 0.6948  3 Cu 2.62-2.74, 9 Zn 2.71-2.81
Mg 0.0000 0.0000 0.0000  8 Cu 2.72, 4 Zn 2.74
Zn 0.1547 0.2290 0.3837  5 Cu 2.68-2.74, 6 Zn 2.68-2.73, 1 Mg 2.74
Zn 0.3803 0.0751 0.4554  3 Cu 2.62-2.74, 9 Zn 2.71-2.81
Zn 0.8453 0.7710 0.6163  5 Cu 2.68-2.74, 6 Zn 2.68-2.73, 1 Mg 2.74
Zn 0.7710 0.1547 0.9257  5 Cu 2.68-2.74, 6 Zn 2.68-2.73, 1 Mg 2.74
Cu 0.3022 0.4626 0.7648  8 Zn 2.62-2.74, 2 Mg 2.72, 2 Cu 2.83
Zn 0.9249 0.3803 0.3052  3 Cu 2.62-2.74, 9 Zn 2.71-2.81
Zn 0.6197 0.9249 0.5446  3 Cu 2.62-2.74, 9 Zn 2.71-2.81
Cu 0.6978 0.5374 0.2352  8 Zn 2.62-2.74, 2 Mg 2.72, 2 Cu 2.83
Zn 0.2290 0.8453 0.0743  5 Cu 2.68-2.74, 6 Zn 2.68-2.73, 1 Mg 2.74
Cu 0.5374 0.3022 0.8396  8 Zn 2.62-2.74, 2 Mg 2.72, 2 Cu 2.83
Cu 0.4626 0.6978 0.1604  8 Zn 2.62-2.74, 2 Mg 2.72, 2 Cu 2.83

Computed properties:
Energy above the most stable polymorph in this dataset: 55 meV/atom
ΔH_f (0 K): -47.9 meV/atom
Density: 7.30 Mg/m³
DOS(E_F): 3.45 states/eV/cell


Entry 9:
DFT (PBE-GGA) results for an optimized crystal structure of MgZn2Cu.

Lattice parameters (Å, degrees): 7.3501 7.3501 5.8065 50.73 50.73 90.00
Closest atoms and distances in Å follow each position.
Positions (direct):
Mg 0.2500 0.7500 0.5000  2 Cu 2.59
Zn 0.6718 0.1250 0.2500  2 Cu 2.45, 2 Zn 2.68
Mg 0.5000 0.5000 0.0000  2 Cu 2.59
Zn 0.3750 0.3282 0.7500  2 Cu 2.45, 2 Zn 2.68
Cu 0.7500 0.2500 0.5000  4 Zn 2.45, 2 Mg 2.59
Zn 0.0782 0.6250 0.2500  2 Cu 2.45, 2 Zn 2.68
Cu 0.0000 0.0000 0.0000  4 Zn 2.45, 2 Mg 2.59
Zn 0.8750 0.9218 0.7500  2 Cu 2.45, 2 Zn 2.68

Computed properties:
ΔH_f (0 K): 132.0 meV/atom
Density: 5.19 Mg/m³
DOS(E_F): 2.69 states/eV/cell


Entry 10:
DFT (PBE-GGA) results for an optimized crystal structure of MgZn4Cu15.

Lattice parameters (Å, degrees): 3.6472 3.6472 18.9890 90.00 90.00 90.00
Closest atoms and distances in Å follow each position.
Positions (direct):
Cu 0.5000 0.0000 0.3022  8 Cu 2.58-2.62, 4 Zn 2.62
Zn 0.0000 0.0000 0.5990  12 Cu 2.58-2.62
Cu 0.5000 0.0000 0.5000  8 Cu 2.58-2.62, 4 Zn 2.62
Cu 0.5000 0.5000 0.0000  4 Mg 2.58, 8 Cu 2.69
Cu 0.5000 0.5000 0.2035  4 Zn 2.58, 8 Cu 2.62-2.63
Zn 0.0000 0.0000 0.4010  12 Cu 2.58-2.62
Cu 0.5000 0.0000 0.6978  8 Cu 2.58-2.62, 4 Zn 2.62
Cu 0.0000 0.5000 0.5000  8 Cu 2.58-2.62, 4 Zn 2.62
Cu 0.5000 0.5000 0.4011  4 Zn 2.58, 8 Cu 2.62
Cu 0.0000 0.5000 0.1040  8 Cu 2.58-2.69, 2 Zn 2.62, 2 Mg 2.69
Mg 0.0000 0.0000 0.0000  12 Cu 2.58-2.69
Cu 0.0000 0.5000 0.3022  8 Cu 2.58-2.62, 4 Zn 2.62
Cu 0.0000 0.5000 0.8960  8 Cu 2.58-2.69, 2 Zn 2.62, 2 Mg 2.69
Cu 0.0000 0.5000 0.6978  8 Cu 2.58-2.62, 4 Zn 2.62
Cu 0.5000 0.5000 0.5989  4 Zn 2.58, 8 Cu 2.62
Zn 0.0000 0.0000 0.7971  12 Cu 2.58-2.62
Cu 0.5000 0.5000 0.7965  4 Zn 2.58, 8 Cu 2.62-2.63
Cu 0.5000 0.0000 0.1040  8 Cu 2.58-2.69, 2 Zn 2.62, 2 Mg 2.69
Cu 0.5000 0.0000 0.8960  8 Cu 2.58-2.69, 2 Zn 2.62, 2 Mg 2.69
Zn 0.0000 0.0000 0.2029  12 Cu 2.58-2.62

Computed properties:
ΔH_f (0 K): -65.0 meV/atom
Density: 8.15 Mg/m³
DOS(E_F): 6.73 states/eV/cell


Copy entry 4 word for word.
DFT (PBE-GGA) results for an optimized crystal structure of MgZn2Cu3.

Lattice parameters (Å, degrees): 5.9968 5.9968 4.9712 90.00 90.00 85.77
Closest atoms and distances in Å follow each position.
Positions (direct):
Mg 0.7246 0.7246 0.2500  7 Cu 2.65-2.85, 4 Zn 2.97
Zn 0.7244 0.2756 0.0000  2 Zn 2.49, 6 Cu 2.53-2.70
Zn 0.7244 0.2756 0.5000  2 Zn 2.49, 6 Cu 2.53-2.70
Cu 0.9150 0.5769 0.7500  1 Cu 2.43, 4 Zn 2.53-2.70, 1 Mg 2.71
Cu 0.0850 0.4231 0.2500  1 Cu 2.43, 4 Zn 2.53-2.70, 1 Mg 2.71
Cu 0.4231 0.0850 0.2500  1 Cu 2.43, 4 Zn 2.53-2.70, 1 Mg 2.71
Mg 0.2754 0.2754 0.7500  7 Cu 2.65-2.85, 4 Zn 2.97
Zn 0.2756 0.7244 0.5000  2 Zn 2.49, 6 Cu 2.53-2.70
Cu 0.5769 0.9150 0.7500  1 Cu 2.43, 4 Zn 2.53-2.70, 1 Mg 2.71
Cu 0.9737 0.9737 0.7500  4 Cu 2.43-2.53, 4 Zn 2.58, 1 Mg 2.65
Zn 0.2756 0.7244 0.0000  2 Zn 2.49, 6 Cu 2.53-2.70
Cu 0.0263 0.0263 0.2500  4 Cu 2.43-2.53, 4 Zn 2.58, 1 Mg 2.65

Computed properties:
Energy above the most stable polymorph in this dataset: 92 meV/atom
ΔH_f (0 K): -10.2 meV/atom
Density: 6.44 Mg/m³
DOS(E_F): 3.17 states/eV/cell